This record from Alexandria via LeMat-Bulk describes a geometry-optimized GaGeMoN2 structure. The functional is GGA-PBE.

Values from the calculation:
- crystal system = tetragonal
- SG = P4/mmm, No. 123
- magnetic moment (Bohr magnetons per cell) = 1.5
- DFT total energy (eV/atom) = -5.49
- raw formation energy (eV per formula unit) = 7.65

Cell lengths 3.777, 5.226, 3.777 Å; angles 90.00, 90.00, 90.00 degrees
Site moments in Bohr magnetons follow the coordinates.
Atoms (fractional coordinates):
Mo: 0.000 0.500 0.000  1.09
Ge: 0.000 0.000 0.000  0.00
Ga: 0.500 0.500 0.500  -0.04
N: 0.000 0.000 0.500  0.14
N: 0.500 0.000 0.000  0.10